[1]
The following is a PBE-GGA calculation of a relaxed structure of Ga3NiSe, from Alexandria.

Cell: 4.6370 4.6370 4.6370 Å, 90.00 90.00 90.00°
Last column: nearest neighbours and their distance in Å.
Space group Pm-3m (No. 221)
One atom of each set of equivalent atoms:
Ga: 0.0000 0.0000 0.5000 (multiplicity 3)  2 Ni 2.32
Ni: 0.0000 0.0000 0.0000 (multiplicity 1)  6 Ga 2.32
Se: 0.5000 0.5000 0.5000 (multiplicity 1)  12 Ga 3.28

Results
As for the density of states at the Fermi level: 3.48 states/eV/f.u. The calculation puts the calculated volume at 19.94 Å³ per atom. Its uncorrected energy is -0.282 Ry/atom. The value obtained for the formation energy (no corrections) is -170 meV per atom.

***

[2]
The following is a PBE-GGA calculation of a relaxed structure of Ga2NiSe2, from Alexandria.

Cell: 6.9698 6.9698 3.8538 Å, 90.00 90.00 90.00°
Last column: nearest neighbours and their distance in Å.
Space group P4/mbm (No. 127)
One atom of each set of equivalent atoms:
Ga: 0.1278 0.3722 0.0000 (multiplicity 4)  2 Se 2.48, 1 Ga 2.52, 2 Ni 2.74
Ni: 0.0000 0.0000 0.0000 (multiplicity 2)  4 Ga 2.74
Se: 0.2133 0.7133 0.5000 (multiplicity 4)  2 Ga 2.48

Results
As for the density of states at the Fermi level: 1.77 states/eV/f.u. The calculation puts the calculated volume at 18.72 Å³ per atom. Its uncorrected energy is -0.267 Ry/atom. The value obtained for the formation energy (no corrections) is 130 meV per atom.

***

What is the uncorrected energy in the first record?
-0.282 Ry/atom

***

What is the formation energy (no corrections) in the second record?
130 meV per atom